[1]
This record from Alexandria via LeMat-Bulk describes a relaxed CrSi3As crystal. The functional is PBE-GGA.

The structure in CIF format:
```
data_CrSi3As
_cell_length_a 4.5193
_cell_length_b 4.5193
_cell_length_c 4.5193
_cell_angle_alpha 90.00
_cell_angle_beta 90.00
_cell_angle_gamma 90.00
_space_group_name_H-M_alt 'P m -3 m'
_space_group_IT_number 221
_space_group_name_Hall '-P 4 2 3'
loop_
_atom_site_label
_atom_site_type_symbol
_atom_site_fract_x
_atom_site_fract_y
_atom_site_fract_z
_atom_site_occupancy
Cr1 Cr 0.0000 0.0000 0.0000 1
Si1 Si 0.0000 0.0000 0.5000 1
As1 As 0.5000 0.5000 0.5000 1
```

Energy relative to the elements, uncorrected: 624 meV per atom
E_tot: -27.42 eV/cell



[2]
This record from Alexandria via LeMat-Bulk describes a relaxed CrSi2As crystal. The functional is PBE-GGA.

The structure in CIF format:
```
data_CrSi2As
_cell_length_a 2.8150
_cell_length_b 2.8150
_cell_length_c 27.3877
_cell_angle_alpha 90.00
_cell_angle_beta 90.00
_cell_angle_gamma 120.00
_space_group_name_H-M_alt 'R 3 m'
_space_group_IT_number 160
_space_group_name_Hall 'R 3 -2"'
loop_
_atom_site_label
_atom_site_type_symbol
_atom_site_fract_x
_atom_site_fract_y
_atom_site_fract_z
_atom_site_occupancy
Cr1 Cr 0.0000 0.0000 0.0000 1
Si1 Si 0.0000 0.0000 0.2677 1
Si2 Si 0.0000 0.0000 0.5178 1
As1 As 0.0000 0.0000 0.7349 1
```

Energy relative to the elements, uncorrected: 252 meV per atom
E_tot: -72.33 eV/cell



[3]
This record from Alexandria via LeMat-Bulk describes a relaxed CrSi2As crystal. The functional is PBE-GGA.

The structure in CIF format:
```
data_CrSi2As
_cell_length_a 2.7572
_cell_length_b 2.9685
_cell_length_c 7.2531
_cell_angle_alpha 90.00
_cell_angle_beta 90.00
_cell_angle_gamma 90.00
_space_group_name_H-M_alt 'P m m m'
_space_group_IT_number 47
_space_group_name_Hall '-P 2 2'
loop_
_atom_site_label
_atom_site_type_symbol
_atom_site_fract_x
_atom_site_fract_y
_atom_site_fract_z
_atom_site_occupancy
Cr1 Cr 0.0000 0.0000 0.0000 1
Si1 Si 0.5000 0.5000 0.1935 1
As1 As 0.5000 0.0000 0.5000 1
```

Energy relative to the elements, uncorrected: 103 meV per atom
E_tot: -24.71 eV/cell



[4]
This record from Alexandria via LeMat-Bulk describes a relaxed Cr2SiAs crystal. The functional is PBE-GGA.

The structure in CIF format:
```
data_Cr2SiAs
_cell_length_a 2.8198
_cell_length_b 2.8198
_cell_length_c 22.8755
_cell_angle_alpha 90.00
_cell_angle_beta 90.00
_cell_angle_gamma 120.00
_space_group_name_H-M_alt 'R -3 m'
_space_group_IT_number 166
_space_group_name_Hall '-R 3 2"'
loop_
_atom_site_label
_atom_site_type_symbol
_atom_site_fract_x
_atom_site_fract_y
_atom_site_fract_z
_atom_site_occupancy
Cr1 Cr 0.0000 0.0000 0.2495 1
Si1 Si 0.0000 0.0000 0.0000 1
As1 As 0.0000 0.0000 0.5000 1
```

Energy relative to the elements, uncorrected: 147 meV per atom
E_tot: -86.19 eV/cell



[5]
This record from Alexandria via LeMat-Bulk describes a relaxed CrSiAs3 crystal. The functional is PBE-GGA.

The structure in CIF format:
```
data_CrSiAs3
_cell_length_a 4.7433
_cell_length_b 4.7433
_cell_length_c 4.7433
_cell_angle_alpha 90.00
_cell_angle_beta 90.00
_cell_angle_gamma 90.00
_space_group_name_H-M_alt 'P m -3 m'
_space_group_IT_number 221
_space_group_name_Hall '-P 4 2 3'
loop_
_atom_site_label
_atom_site_type_symbol
_atom_site_fract_x
_atom_site_fract_y
_atom_site_fract_z
_atom_site_occupancy
Cr1 Cr 0.0000 0.0000 0.0000 1
Si1 Si 0.5000 0.5000 0.5000 1
As1 As 0.0000 0.5000 0.5000 1
```

Energy relative to the elements, uncorrected: 808 meV per atom
E_tot: -24.95 eV/cell



[6]
This record from Alexandria via LeMat-Bulk describes a relaxed CrSiAs2 crystal. The functional is PBE-GGA.

The structure in CIF format:
```
data_CrSiAs2
_cell_length_a 4.5245
_cell_length_b 4.5245
_cell_length_c 3.2605
_cell_angle_alpha 90.00
_cell_angle_beta 90.00
_cell_angle_gamma 90.00
_space_group_name_H-M_alt 'P 4/m m m'
_space_group_IT_number 123
_space_group_name_Hall '-P 4 2'
loop_
_atom_site_label
_atom_site_type_symbol
_atom_site_fract_x
_atom_site_fract_y
_atom_site_fract_z
_atom_site_occupancy
Cr1 Cr 0.0000 0.0000 0.0000 1
Si1 Si 0.5000 0.5000 0.0000 1
As1 As 0.0000 0.5000 0.5000 1
```

Energy relative to the elements, uncorrected: 376 meV per atom
E_tot: -22.84 eV/cell



Values for volume, A^3/atom, ordered as above
18.46, 15.66, 14.84, 13.13, 21.34, 16.69